[1]
CaSiGe3 | PBE-GGA | relaxed

ΔE to the lowest computed polymorph: 1103 meV/atom
VASP energy: -2.955 eV per atom
ρ: 3.18 Mg/m³
raw formation energy: 1.301 eV/atom
symmetry: No. 221
volume: 149.5 Å³/cell

Unit cell a=5.3070 b=5.3070 c=5.3070 alpha=90.00 beta=90.00 gamma=90.00
Site moments in Bohr magnetons follow the coordinates.
Element x y z (fractional)
Ge: 0.0000 0.5000 0.0000  0.08
Ge: 0.0000 0.0000 0.5000  0.08
Ge: 0.5000 0.0000 0.0000  0.09
Si: 0.5000 0.5000 0.5000  -0.03
Ca: 0.0000 0.0000 0.0000  0.13

[2]
Nb3TlSe | PBE-GGA | relaxed

ΔE to the lowest computed polymorph: 1435 meV/atom
VASP energy: -5.170 eV per atom
ρ: 6.90 Mg/m³
raw formation energy: 2.042 eV/atom
symmetry: No. 221
volume: 135.2 Å³/cell

Unit cell a=5.1324 b=5.1324 c=5.1324 alpha=90.00 beta=90.00 gamma=90.00
Element x y z (fractional)
Tl: 0.0000 0.0000 0.0000
Nb: 0.0000 0.5000 0.0000
Nb: 0.0000 0.0000 0.5000
Nb: 0.5000 0.0000 0.0000
Se: 0.5000 0.5000 0.5000

[3]
Ca2HfPaSb4 | PBE-GGA | relaxed

VASP energy: -5.713 eV per atom
ρ: 6.84 Mg/m³
raw formation energy: -0.720 eV/atom
symmetry: No. 10
volume: 237.3 Å³/cell

Unit cell a=4.3364 b=7.4537 c=7.7526 alpha=108.75 beta=90.00 gamma=90.00
Site moments in Bohr magnetons follow the coordinates.
Element x y z (fractional)
Ca: 0.5000 0.0000 0.5000  0.00
Ca: 0.0000 0.5000 0.5000  0.00
Hf: 0.0000 0.0000 0.0000  0.02
Pa: 0.5000 0.5000 0.0000  0.40
Sb: 0.5000 0.2339 0.2279  -0.01
Sb: 0.5000 0.7661 0.7721  -0.01
Sb: 0.0000 0.2452 0.7656  -0.01
Sb: 0.0000 0.7548 0.2344  -0.01

[4]
CaHfO2 | PBE-GGA | relaxed

ΔE to the lowest computed polymorph: 877 meV/atom
VASP energy: -7.170 eV per atom
ρ: 8.97 Mg/m³
raw formation energy: -1.702 eV/atom
symmetry: No. 225
volume: 46.4 Å³/cell

Unit cell a=4.0325 b=4.0325 c=4.0325 alpha=60.00 beta=60.00 gamma=60.00
Site moments in Bohr magnetons follow the coordinates.
Element x y z (fractional)
Ca: 0.0000 0.0000 0.0000  0.14
Hf: 0.5000 0.5000 0.5000  0.55
O: 0.2500 0.2500 0.2500  -0.01
O: 0.7500 0.7500 0.7500  -0.01

[5]
YHfPO2 | PBE-GGA | relaxed

ΔE to the lowest computed polymorph: 0 meV/atom
VASP energy: -8.693 eV per atom
ρ: 6.30 Mg/m³
raw formation energy: -2.344 eV/atom
symmetry: No. 123
volume: 87.1 Å³/cell

Unit cell a=4.0553 b=4.0553 c=5.2934 alpha=90.00 beta=90.00 gamma=90.00
Element x y z (fractional)
Y: 0.5000 0.5000 0.5000
P: 0.0000 0.0000 0.5000
Hf: 0.0000 0.0000 0.0000
O: 0.0000 0.5000 0.0000
O: 0.5000 0.0000 0.0000

[6]
Pr2NdIn6 | PBE-GGA | relaxed

VASP energy: -3.891 eV per atom
ρ: 7.53 Mg/m³
energy relative to the elements: -4.261 eV per formula unit
symmetry: No. 191
volume: 245.9 Å³/cell

Unit cell a=3.7574 b=8.6927 c=8.6928 alpha=120.00 beta=90.00 gamma=90.00
Element x y z (fractional)
Pr: 0.0000 0.3333 0.6667
Pr: 0.0000 0.6667 0.3333
Nd: 0.0000 0.0000 0.0000
In: 0.5000 0.3329 0.3329
In: 0.5000 0.6671 0.6671
In: 0.5000 0.0000 0.6671
In: 0.5000 0.6671 0.0000
In: 0.5000 0.3329 0.0000
In: 0.5000 0.0000 0.3329

[7]
Cs2PaH2Se4 | PBE-GGA | relaxed

VASP energy: -4.485 eV per atom
ρ: 4.74 Mg/m³
symmetry: No. 2
volume: 285.5 Å³/cell

Unit cell a=4.2373 b=7.8861 c=9.7060 alpha=115.12 beta=102.66 gamma=88.92
Site moments in Bohr magnetons follow the coordinates.
Element x y z (fractional)
Cs: 0.1400 0.6442 0.2791  0.00
Cs: 0.8600 0.3558 0.7209  0.00
Pa: 0.0000 0.0000 0.0000  1.02
H: 0.8427 0.2303 0.3461  0.00
H: 0.1573 0.7697 0.6539  0.00
Se: 0.1834 0.1774 0.3482  -0.01
Se: 0.8166 0.8226 0.6518  -0.01
Se: 0.5044 0.7595 0.0024  -0.03
Se: 0.4956 0.2405 0.9976  -0.03

[8]
Ho2PuMg | PBE-GGA | relaxed

ΔE to the lowest computed polymorph: 0 meV/atom
VASP energy: -6.220 eV per atom
ρ: 8.86 Mg/m³
energy relative to the elements: 0.203 eV per formula unit
symmetry: No. 123
volume: 112.1 Å³/cell

Unit cell a=3.4430 b=3.4430 c=9.4537 alpha=90.00 beta=90.00 gamma=90.00
Site moments in Bohr magnetons follow the coordinates.
Element x y z (fractional)
Mg: 0.5000 0.5000 0.0000  -0.01
Ho: 0.0000 0.0000 0.7559  0.12
Ho: 0.0000 0.0000 0.2441  0.12
Pu: 0.5000 0.5000 0.5000  5.45

[9]
CePa2Tc3 | PBE-GGA | relaxed

VASP energy: -9.482 eV per atom
ρ: 11.95 Mg/m³
energy relative to the elements: -0.866 eV per formula unit
symmetry: No. 123
volume: 124.5 Å³/cell

Unit cell a=3.4539 b=3.4539 c=10.4369 alpha=90.00 beta=90.00 gamma=90.00
Site moments in Bohr magnetons follow the coordinates.
Element x y z (fractional)
Ce: 0.5000 0.5000 0.5000  0.15
Pa: 0.5000 0.5000 0.8323  0.00
Pa: 0.5000 0.5000 0.1677  0.00
Tc: 0.0000 0.0000 0.0000  0.00
Tc: 0.0000 0.0000 0.6948  -0.01
Tc: 0.0000 0.0000 0.3052  -0.01

[10]
YInBi2O6 | PBE-GGA | relaxed

VASP energy: -6.526 eV per atom
ρ: 8.05 Mg/m³
raw formation energy: -1.855 eV/atom
symmetry: No. 14
volume: 296.0 Å³/cell

Unit cell a=5.7417 b=6.1758 c=8.3477 alpha=90.00 beta=90.05 gamma=90.00
Element x y z (fractional)
Y: 0.5000 0.0000 0.5000
Y: 0.0000 0.5000 0.0000
In: 0.5000 0.0000 0.0000
In: 0.0000 0.5000 0.5000
Bi: 0.0115 0.9612 0.2472
Bi: 0.5115 0.5388 0.7472
Bi: 0.9885 0.0388 0.7528
Bi: 0.4885 0.4612 0.2528
O: 0.3333 0.6870 0.0657
O: 0.8333 0.8130 0.5657
O: 0.6667 0.3130 0.9343
O: 0.1667 0.1870 0.4343
O: 0.3261 0.6784 0.4397
O: 0.8261 0.8216 0.9397
O: 0.6739 0.3216 0.5603
O: 0.1739 0.1784 0.0603
O: 0.8612 0.5539 0.2550
O: 0.3612 0.9461 0.7550
O: 0.1388 0.4461 0.7450
O: 0.6388 0.0539 0.2450

[11]
CdCu6Pd5 | PBE-GGA | relaxed

VASP energy: -4.424 eV per atom
ρ: 10.08 Mg/m³
energy relative to the elements: -1.632 eV per formula unit
symmetry: No. 71
volume: 168.9 Å³/cell

Unit cell a=4.3070 b=6.0694 c=7.4572 alpha=114.01 beta=106.79 gamma=90.00
Element x y z (fractional)
Pd: 0.6617 0.1617 0.3234
Pd: 0.3317 0.3317 0.6633
Pd: 0.0000 0.5000 0.0000
Pd: 0.6683 0.6683 0.3367
Pd: 0.3383 0.8383 0.6766
Cu: 0.8293 0.5719 0.6586
Cu: 0.8293 0.0867 0.6586
Cu: 0.5000 0.7355 0.0000
Cu: 0.5000 0.2645 0.0000
Cu: 0.1707 0.9133 0.3414
Cu: 0.1707 0.4281 0.3414
Cd: 0.0000 0.0000 0.0000